Below is a relaxed structure of BaSr3Ag2, with properties calculated at the PBE level.

Geometry as POSCAR:
```
BaSr3Ag2
1.0
4.657 0.000 0.939
1.982 9.291 2.189
0.055 -0.018 11.748
Sr Ba Ag
6 2 4
Direct
0.586 0.264 0.563 Sr
0.156 0.935 0.752 Sr
0.414 0.736 0.437 Sr
0.585 0.773 0.056 Sr
0.415 0.227 0.944 Sr
0.844 0.065 0.248 Sr
0.151 0.439 0.259 Ba
0.849 0.561 0.741 Ba
0.768 0.916 0.547 Ag
0.232 0.084 0.453 Ag
0.769 0.414 0.048 Ag
0.231 0.586 0.952 Ag
```

Calculated values
Calculated formation energy = -0.20 eV/atom
Total energy = -27.78 eV for the cell shown
Space group = C2/m